No. 1
# GGA-PBE Ta4RuW, optimized geometry
data_Ta4RuW
_chemical_formula_sum 'Ta8 Ru2 W2'
_symmetry_space_group_name_H-M 'C m m m'
_symmetry_Int_Tables_number 65
_symmetry_space_group_name_Hall '-C 2 2'
_cell_length_a 7.637
_cell_length_b 7.783
_cell_length_c 4.405
_cell_angle_alpha 90.00
_cell_angle_beta 90.00
_cell_angle_gamma 90.00
loop_
_atom_site_label
_atom_site_fract_x
_atom_site_fract_y
_atom_site_fract_z
_atom_site_occupancy
Ta1 0.000 0.179 0.000 1
Ta2 0.185 0.500 0.500 1
Ru1 0.000 0.000 0.500 1
W1 0.000 0.500 0.000 1
# M_tot (μB per formula unit): 0.00
# Energy relative to the lowest polymorph listed for this composition (meV/atom): 1424
# Formation energy from the elements (meV/atom): 1189.6



No. 2
# GGA-PBE Ta2RuW, optimized geometry
data_Ta2RuW
_chemical_formula_sum 'Ta4 Ru2 W2'
_symmetry_space_group_name_H-M 'C m m m'
_symmetry_Int_Tables_number 65
_symmetry_space_group_name_Hall '-C 2 2'
_cell_length_a 3.229
_cell_length_b 4.637
_cell_length_c 8.840
_cell_angle_alpha 90.00
_cell_angle_beta 90.00
_cell_angle_gamma 90.00
loop_
_atom_site_label
_atom_site_fract_x
_atom_site_fract_y
_atom_site_fract_z
_atom_site_occupancy
Ta1 0.000 0.000 0.243 1
Ru1 0.000 0.500 0.000 1
W1 0.000 0.500 0.500 1
# M_tot (μB per formula unit): 0.00
# Formation energy from the elements (meV/atom): -102.9



No. 3
# GGA-PBE TaRu2W2, optimized geometry
data_TaRu2W2
_chemical_formula_sum 'Ta2 Ru4 W4'
_symmetry_space_group_name_H-M 'P 4/m b m'
_symmetry_Int_Tables_number 127
_symmetry_space_group_name_Hall '-P 4 2ab'
_cell_length_a 7.473
_cell_length_b 7.473
_cell_length_c 2.887
_cell_angle_alpha 90.00
_cell_angle_beta 90.00
_cell_angle_gamma 90.00
loop_
_atom_site_label
_atom_site_fract_x
_atom_site_fract_y
_atom_site_fract_z
_atom_site_occupancy
Ta1 0.000 0.000 0.000 1
Ru1 0.132 0.368 0.000 1
W1 0.166 0.666 0.500 1
# M_tot (μB per formula unit): 0.00
# Formation energy from the elements (meV/atom): 132.7



No. 4
# GGA-PBE TaRuW3, optimized geometry
data_TaRuW3
_chemical_formula_sum 'Ta1 Ru1 W3'
_symmetry_space_group_name_H-M 'P m -3 m'
_symmetry_Int_Tables_number 221
_symmetry_space_group_name_Hall '-P 4 2 3'
_cell_length_a 4.650
_cell_length_b 4.650
_cell_length_c 4.650
_cell_angle_alpha 90.00
_cell_angle_beta 90.00
_cell_angle_gamma 90.00
loop_
_atom_site_label
_atom_site_fract_x
_atom_site_fract_y
_atom_site_fract_z
_atom_site_occupancy
Ta1 0.000 0.000 0.000 1
Ru1 0.500 0.500 0.500 1
W1 0.000 0.500 0.500 1
# M_tot (μB per formula unit): 0.00
# Energy relative to the lowest polymorph listed for this composition (meV/atom): 0
# Formation energy from the elements (meV/atom): 1817.8



No. 5
# GGA-PBE Ta3RuW, optimized geometry
data_Ta3RuW
_chemical_formula_sum 'Ta3 Ru1 W1'
_symmetry_space_group_name_H-M 'P m -3 m'
_symmetry_Int_Tables_number 221
_symmetry_space_group_name_Hall '-P 4 2 3'
_cell_length_a 4.717
_cell_length_b 4.717
_cell_length_c 4.717
_cell_angle_alpha 90.00
_cell_angle_beta 90.00
_cell_angle_gamma 90.00
loop_
_atom_site_label
_atom_site_fract_x
_atom_site_fract_y
_atom_site_fract_z
_atom_site_occupancy
Ta1 0.000 0.000 0.500 1
Ru1 0.000 0.000 0.000 1
W1 0.500 0.500 0.500 1
# M_tot (μB per formula unit): 0.00
# Energy relative to the lowest polymorph listed for this composition (meV/atom): 1736
# Formation energy from the elements (meV/atom): 1467.6



No. 6
# GGA-PBE TaRuW3, optimized geometry
data_TaRuW3
_chemical_formula_sum 'Ta1 Ru1 W3'
_symmetry_space_group_name_H-M 'P m -3 m'
_symmetry_Int_Tables_number 221
_symmetry_space_group_name_Hall '-P 4 2 3'
_cell_length_a 4.702
_cell_length_b 4.702
_cell_length_c 4.702
_cell_angle_alpha 90.00
_cell_angle_beta 90.00
_cell_angle_gamma 90.00
loop_
_atom_site_label
_atom_site_fract_x
_atom_site_fract_y
_atom_site_fract_z
_atom_site_occupancy
Ta1 0.000 0.000 0.000 1
Ru1 0.500 0.500 0.500 1
W1 0.000 0.000 0.500 1
# M_tot (μB per formula unit): 0.07
# Energy relative to the lowest polymorph listed for this composition (meV/atom): 707
# Formation energy from the elements (meV/atom): 2524.8



No. 7
# GGA-PBE Ta6RuW, optimized geometry
data_Ta6RuW
_chemical_formula_sum 'Ta18 Ru3 W3'
_symmetry_space_group_name_H-M 'R -3 m'
_symmetry_Int_Tables_number 166
_symmetry_space_group_name_Hall '-R 3 2"'
_cell_length_a 9.4841
_cell_length_b 9.4841
_cell_length_c 5.4981
_cell_angle_alpha 90.00
_cell_angle_beta 90.00
_cell_angle_gamma 120.00
loop_
_atom_site_label
_atom_site_fract_x
_atom_site_fract_y
_atom_site_fract_z
_atom_site_occupancy
Ta1 0.0016 0.5008 0.2517 1
Ru1 0.0000 0.0000 0.5000 1
W1 0.0000 0.0000 0.0000 1
# M_tot (μB per formula unit): 0.00
# Formation energy from the elements (meV/atom): 138.0



No. 8
# GGA-PBE Ta6RuW5, optimized geometry
data_Ta6RuW5
_chemical_formula_sum 'Ta12 Ru2 W10'
_symmetry_space_group_name_H-M 'C 1 2/m 1'
_symmetry_Int_Tables_number 12
_symmetry_space_group_name_Hall '-C 2y'
_cell_length_a 7.905
_cell_length_b 13.709
_cell_length_c 4.568
_cell_angle_alpha 90.00
_cell_angle_beta 125.23
_cell_angle_gamma 90.00
loop_
_atom_site_label
_atom_site_fract_x
_atom_site_fract_y
_atom_site_fract_z
_atom_site_occupancy
Ta1 0.250 0.000 0.250 1
Ta2 0.250 0.166 0.750 1
Ru1 0.000 0.000 0.500 1
W1 0.000 0.167 0.000 1
W2 0.000 0.334 0.500 1
W3 0.000 0.500 0.000 1
# M_tot (μB per formula unit): 0.00
# Formation energy from the elements (meV/atom): -183.4